First-principles (GGA-PBE) data for a relaxed U3Fe5Ge6 crystal, as listed in Alexandria.

Summary:
total DFT energy (no corrections) = -7.607 eV per atom
ΔH_f (0 K) = -0.187 eV/atom

Cell and atoms, written as CIF:
```
data_U3Fe5Ge6
_chemical_formula_sum 'U6 Fe10 Ge12'
_space_group_name_H-M_alt 'P m m n'
_space_group_IT_number 59
_cell_length_a 4.0209
_cell_length_b 12.2611
_cell_length_c 8.9645
_cell_angle_alpha 90.00
_cell_angle_beta 90.00
_cell_angle_gamma 90.00
loop_
_space_group_symop_operation_xyz
'x,y,z'
'-x,-y,-z'
'-x+1/2,-y+1/2,z'
'x+1/2,y+1/2,-z'
'x+1/2,-y,-z'
'-x+1/2,y,z'
'-x,y+1/2,-z'
'x,-y+1/2,z'
loop_
_atom_site_label
_atom_site_type_symbol
_atom_site_fract_x
_atom_site_fract_y
_atom_site_fract_z
_atom_site_occupancy
U1 U 0.2500 0.0512 0.2484 1
U2 U 0.2500 0.7500 0.2670 1
Fe1 Fe 0.2500 0.0924 0.8622 1
Fe2 Fe 0.2500 0.6370 0.5459 1
Fe3 Fe 0.2500 0.7500 0.7793 1
Ge1 Ge 0.2500 0.0761 0.5960 1
Ge2 Ge 0.2500 0.2500 0.0306 1
Ge3 Ge 0.2500 0.2500 0.4248 1
Ge4 Ge 0.2500 0.5964 0.9827 1
```